(1)
Compound: TbMgPaTc
Source: Alexandria
Functional: GGA-PBE
Structure: optimized geometry

abc: 7.114 7.114 7.114
angles: 90.00 90.00 90.00
Element x y z (fractional)
1 Tb 0.000 0.000 0.000
2 Tb 0.000 0.500 0.500
3 Tb 0.500 0.000 0.500
4 Tb 0.500 0.500 0.000
5 Mg 0.250 0.250 0.250
6 Mg 0.250 0.750 0.750
7 Mg 0.750 0.250 0.750
8 Mg 0.750 0.750 0.250
9 Pa 0.000 0.000 0.500
10 Pa 0.000 0.500 0.000
11 Pa 0.500 0.000 0.000
12 Pa 0.500 0.500 0.500
13 Tc 0.250 0.250 0.750
14 Tc 0.250 0.750 0.250
15 Tc 0.750 0.250 0.250
16 Tc 0.750 0.750 0.750

Calculated values
- Fermi-level density of states: 5.4 states/eV/f.u.
- Calculated formation energy: 0.121 eV/atom
- V: 360.0 Å³/cell
- E: -0.2352 hartree per atom
- Magnetization: 0.00 μB per cell

(2)
Compound: TbTmMgPa
Source: Alexandria
Functional: GGA-PBE
Structure: optimized geometry

abc: 7.621 7.621 7.621
angles: 90.00 90.00 90.00
Element x y z (fractional)
1 Tb 0.000 0.000 0.000
2 Tb 0.000 0.500 0.500
3 Tb 0.500 0.000 0.500
4 Tb 0.500 0.500 0.000
5 Tm 0.000 0.000 0.500
6 Tm 0.000 0.500 0.000
7 Tm 0.500 0.000 0.000
8 Tm 0.500 0.500 0.500
9 Mg 0.250 0.250 0.750
10 Mg 0.250 0.750 0.250
11 Mg 0.750 0.250 0.250
12 Mg 0.750 0.750 0.750
13 Pa 0.250 0.250 0.250
14 Pa 0.250 0.750 0.750
15 Pa 0.750 0.250 0.750
16 Pa 0.750 0.750 0.250

Calculated values
- Fermi-level density of states: 8.4 states/eV/f.u.
- Calculated formation energy: 0.346 eV/atom
- V: 442.6 Å³/cell
- E: -0.1728 hartree per atom
- Magnetization: 8.14 μB per cell

(3)
Compound: MgPa2Tc
Source: Alexandria
Functional: GGA-PBE
Structure: optimized geometry

abc: 3.768 3.768 25.336
angles: 90.00 90.00 120.00
Element x y z (fractional)
1 Mg 0.000 0.000 0.000
2 Mg 0.333 0.667 0.667
3 Mg 0.667 0.333 0.333
4 Pa 0.000 0.000 0.231
5 Pa 0.000 0.000 0.769
6 Pa 0.333 0.667 0.436
7 Pa 0.333 0.667 0.898
8 Pa 0.667 0.333 0.102
9 Pa 0.667 0.333 0.564
10 Tc 0.000 0.000 0.500
11 Tc 0.333 0.667 0.167
12 Tc 0.667 0.333 0.833

Calculated values
- Fermi-level density of states: 8.8 states/eV/f.u.
- Calculated formation energy: 0.241 eV/atom
- V: 311.5 Å³/cell
- Distance to the lowest polymorph of the same formula: 252 meV/atom
- E: -0.2755 hartree per atom
- Magnetization: 0.01 μB per cell

(4)
Compound: MgPa2Tc
Source: Alexandria
Functional: GGA-PBE
Structure: optimized geometry

abc: 4.429 4.429 4.304
angles: 90.00 90.00 90.00
Element x y z (fractional)
1 Mg 0.000 0.000 0.000
2 Pa 0.000 0.500 0.500
3 Pa 0.500 0.000 0.500
4 Tc 0.500 0.500 0.000

Calculated values
- Fermi-level density of states: 5.6 states/eV/f.u.
- Calculated formation energy: 0.152 eV/atom
- V: 84.4 Å³/cell
- Distance to the lowest polymorph of the same formula: 163 meV/atom
- E: -0.2788 hartree per atom
- Magnetization: 0.00 μB per cell

(5)
Compound: MgPaTc4
Source: Alexandria
Functional: GGA-PBE
Structure: optimized geometry

abc: 5.324 5.324 5.324
angles: 60.00 60.00 60.00
Element x y z (fractional)
1 Mg 0.000 0.000 0.000
2 Pa 0.750 0.750 0.750
3 Tc 0.374 0.374 0.374
4 Tc 0.374 0.374 0.878
5 Tc 0.374 0.878 0.374
6 Tc 0.878 0.374 0.374

Calculated values
- Fermi-level density of states: 10.9 states/eV/f.u.
- Calculated formation energy: 0.053 eV/atom
- V: 106.7 Å³/cell
- E: -0.3199 hartree per atom
- Magnetization: 0.00 μB per cell

(6)
Compound: MgPa2Tc
Source: Alexandria
Functional: GGA-PBE
Structure: optimized geometry

abc: 3.182 3.182 9.057
angles: 90.00 90.00 90.00
Element x y z (fractional)
1 Mg 0.000 0.000 0.000
2 Pa 0.500 0.500 0.294
3 Pa 0.500 0.500 0.706
4 Tc 0.000 0.000 0.500

Calculated values
- Fermi-level density of states: 5.8 states/eV/f.u.
- Calculated formation energy: -0.011 eV/atom
- V: 91.7 Å³/cell
- Distance to the lowest polymorph of the same formula: 0 meV/atom
- E: -0.2848 hartree per atom
- Magnetization: 0.00 μB per cell

(7)
Compound: MgPaTc2
Source: Alexandria
Functional: GGA-PBE
Structure: optimized geometry

abc: 6.567 6.567 6.567
angles: 90.00 90.00 90.00
Element x y z (fractional)
1 Mg 0.000 0.000 0.000
2 Mg 0.000 0.500 0.500
3 Mg 0.500 0.000 0.500
4 Mg 0.500 0.500 0.000
5 Pa 0.000 0.000 0.500
6 Pa 0.000 0.500 0.000
7 Pa 0.500 0.000 0.000
8 Pa 0.500 0.500 0.500
9 Tc 0.250 0.250 0.250
10 Tc 0.250 0.250 0.750
11 Tc 0.250 0.750 0.250
12 Tc 0.250 0.750 0.750
13 Tc 0.750 0.250 0.250
14 Tc 0.750 0.250 0.750
15 Tc 0.750 0.750 0.250
16 Tc 0.750 0.750 0.750

Calculated values
- Fermi-level density of states: 4.9 states/eV/f.u.
- Calculated formation energy: -0.090 eV/atom
- V: 283.2 Å³/cell
- Distance to the lowest polymorph of the same formula: 0 meV/atom
- E: -0.2957 hartree per atom
- Magnetization: 0.00 μB per cell

(8)
Compound: MgPaTc2
Source: Alexandria
Functional: GGA-PBE
Structure: optimized geometry

abc: 4.570 4.570 3.413
angles: 90.00 90.00 90.00
Element x y z (fractional)
1 Mg 0.000 0.000 0.000
2 Pa 0.500 0.500 0.000
3 Tc 0.000 0.500 0.500
4 Tc 0.500 0.000 0.500

Calculated values
- Fermi-level density of states: 6.2 states/eV/f.u.
- Calculated formation energy: -0.086 eV/atom
- V: 71.3 Å³/cell
- Distance to the lowest polymorph of the same formula: 4 meV/atom
- E: -0.2955 hartree per atom
- Magnetization: 0.00 μB per cell

(9)
Compound: MgPaTiTc
Source: Alexandria
Functional: GGA-PBE
Structure: optimized geometry

abc: 6.616 6.616 6.616
angles: 90.00 90.00 90.00
Element x y z (fractional)
1 Mg 0.000 0.000 0.000
2 Mg 0.000 0.500 0.500
3 Mg 0.500 0.000 0.500
4 Mg 0.500 0.500 0.000
5 Pa 0.000 0.000 0.500
6 Pa 0.000 0.500 0.000
7 Pa 0.500 0.000 0.000
8 Pa 0.500 0.500 0.500
9 Ti 0.250 0.250 0.250
10 Ti 0.250 0.750 0.750
11 Ti 0.750 0.250 0.750
12 Ti 0.750 0.750 0.250
13 Tc 0.250 0.250 0.750
14 Tc 0.250 0.750 0.250
15 Tc 0.750 0.250 0.250
16 Tc 0.750 0.750 0.750

Calculated values
- Fermi-level density of states: 2.4 states/eV/f.u.
- Calculated formation energy: -0.017 eV/atom
- V: 289.6 Å³/cell
- E: -0.2703 hartree per atom
- Magnetization: 0.00 μB per cell

(10)
Compound: YMgPaTc
Source: Alexandria
Functional: GGA-PBE
Structure: optimized geometry

abc: 7.111 7.111 7.111
angles: 90.00 90.00 90.00
Element x y z (fractional)
1 Y 0.000 0.000 0.000
2 Y 0.000 0.500 0.500
3 Y 0.500 0.000 0.500
4 Y 0.500 0.500 0.000
5 Mg 0.250 0.250 0.750
6 Mg 0.250 0.750 0.250
7 Mg 0.750 0.250 0.250
8 Mg 0.750 0.750 0.750
9 Pa 0.000 0.000 0.500
10 Pa 0.000 0.500 0.000
11 Pa 0.500 0.000 0.000
12 Pa 0.500 0.500 0.500
13 Tc 0.250 0.250 0.250
14 Tc 0.250 0.750 0.750
15 Tc 0.750 0.250 0.750
16 Tc 0.750 0.750 0.250

Calculated values
- Fermi-level density of states: 5.4 states/eV/f.u.
- Calculated formation energy: 0.113 eV/atom
- V: 359.6 Å³/cell
- E: -0.2523 hartree per atom
- Magnetization: 0.00 μB per cell

(11)
Compound: MgPaZnTc
Source: Alexandria
Functional: GGA-PBE
Structure: optimized geometry

abc: 6.720 6.720 6.720
angles: 90.00 90.00 90.00
Element x y z (fractional)
1 Mg 0.000 0.000 0.000
2 Mg 0.000 0.500 0.500
3 Mg 0.500 0.000 0.500
4 Mg 0.500 0.500 0.000
5 Pa 0.000 0.000 0.500
6 Pa 0.000 0.500 0.000
7 Pa 0.500 0.000 0.000
8 Pa 0.500 0.500 0.500
9 Zn 0.250 0.250 0.250
10 Zn 0.250 0.750 0.750
11 Zn 0.750 0.250 0.750
12 Zn 0.750 0.750 0.250
13 Tc 0.250 0.250 0.750
14 Tc 0.250 0.750 0.250
15 Tc 0.750 0.250 0.250
16 Tc 0.750 0.750 0.750

Calculated values
- Fermi-level density of states: 4.3 states/eV/f.u.
- Calculated formation energy: 0.066 eV/atom
- V: 303.5 Å³/cell
- E: -0.2064 hartree per atom
- Magnetization: 0.00 μB per cell

(12)
Compound: MgPa2Te8
Source: Alexandria
Functional: GGA-PBE
Structure: optimized geometry

abc: 6.362 6.362 9.323
angles: 90.00 90.00 120.00
Element x y z (fractional)
1 Mg 0.000 0.000 0.000
2 Pa 0.333 0.667 0.381
3 Pa 0.667 0.333 0.619
4 Te 0.168 0.336 0.681
5 Te 0.168 0.832 0.681
6 Te 0.333 0.667 0.065
7 Te 0.336 0.168 0.319
8 Te 0.664 0.832 0.681
9 Te 0.667 0.333 0.935
10 Te 0.832 0.168 0.319
11 Te 0.832 0.664 0.319

Calculated values
- Uncorrected formation energy: -0.398 eV/atom
- Fermi-level density of states: 6.4 states/eV/f.u.
- V: 326.8 Å³/cell
- E: -0.1674 hartree per atom
- Magnetization: 0.00 μB per cell

(13)
Compound: MgPaTe
Source: Alexandria
Functional: GGA-PBE
Structure: optimized geometry

abc: 3.667 3.667 14.019
angles: 90.00 90.00 120.00
Element x y z (fractional)
1 Mg 0.000 0.000 0.189
2 Mg 0.000 0.000 0.811
3 Pa 0.000 0.000 0.500
4 Pa 0.667 0.333 0.000
5 Te 0.667 0.333 0.340
6 Te 0.667 0.333 0.660

Calculated values
- Uncorrected formation energy: -0.153 eV/atom
- Fermi-level density of states: 4.2 states/eV/f.u.
- V: 163.3 Å³/cell
- E: -0.1800 hartree per atom
- Magnetization: 0.51 μB per cell

(14)
Compound: MgPaTe2
Source: Alexandria
Functional: GGA-PBE
Structure: optimized geometry

abc: 4.036 4.036 29.313
angles: 90.00 90.00 120.00
Element x y z (fractional)
1 Mg 0.000 0.000 0.000
2 Mg 0.333 0.667 0.667
3 Mg 0.667 0.333 0.333
4 Pa 0.000 0.000 0.500
5 Pa 0.333 0.667 0.167
6 Pa 0.667 0.333 0.833
7 Te 0.000 0.000 0.098
8 Te 0.000 0.000 0.902
9 Te 0.333 0.667 0.569
10 Te 0.333 0.667 0.765
11 Te 0.667 0.333 0.235
12 Te 0.667 0.333 0.431

Calculated values
- Uncorrected formation energy: -0.444 eV/atom
- Fermi-level density of states: 4.9 states/eV/f.u.
- V: 413.5 Å³/cell
- Distance to the lowest polymorph of the same formula: 205 meV/atom
- E: -0.1759 hartree per atom
- Magnetization: 3.34 μB per cell

(15)
Compound: MgPaTe3
Source: Alexandria
Functional: GGA-PBE
Structure: optimized geometry

abc: 11.933 11.933 7.410
angles: 90.00 90.00 158.65
Element x y z (fractional)
1 Mg 0.117 0.883 0.500
2 Mg 0.883 0.117 0.000
3 Pa 0.335 0.665 0.608
4 Pa 0.665 0.335 0.108
5 Te 0.115 0.885 0.877
6 Te 0.229 0.771 0.329
7 Te 0.437 0.563 0.849
8 Te 0.563 0.437 0.349
9 Te 0.771 0.229 0.829
10 Te 0.885 0.115 0.377

Calculated values
- Uncorrected formation energy: -0.725 eV/atom
- Fermi-level density of states: 4.8 states/eV/f.u.
- V: 384.1 Å³/cell
- E: -0.1774 hartree per atom
- Magnetization: 2.01 μB per cell

(16)
Compound: Mg5Pa3Te12
Source: Alexandria
Functional: GGA-PBE
Structure: optimized geometry

abc: 15.032 15.032 15.032
angles: 109.47 109.47 109.47
Element x y z (fractional)
1 Mg 0.000 0.000 0.000
2 Mg 0.000 0.000 0.500
3 Mg 0.000 0.500 0.000
4 Mg 0.000 0.500 0.500
5 Mg 0.125 0.750 0.875
6 Mg 0.125 0.875 0.250
7 Mg 0.250 0.125 0.875
8 Mg 0.250 0.625 0.375
9 Mg 0.375 0.250 0.625
10 Mg 0.375 0.625 0.750
11 Mg 0.500 0.000 0.000
12 Mg 0.500 0.000 0.500
13 Mg 0.500 0.500 0.000
14 Mg 0.500 0.500 0.500
15 Mg 0.625 0.375 0.250
16 Mg 0.625 0.750 0.375
17 Mg 0.750 0.375 0.625
18 Mg 0.750 0.875 0.125
19 Mg 0.875 0.125 0.750
20 Mg 0.875 0.250 0.125
21 Pa 0.125 0.250 0.375
22 Pa 0.125 0.375 0.750
23 Pa 0.250 0.375 0.125
24 Pa 0.250 0.875 0.625
25 Pa 0.375 0.125 0.250
26 Pa 0.375 0.750 0.125
27 Pa 0.625 0.250 0.875
28 Pa 0.625 0.875 0.750
29 Pa 0.750 0.125 0.375
30 Pa 0.750 0.625 0.875
31 Pa 0.875 0.625 0.250
32 Pa 0.875 0.750 0.625
33 Te 0.046 0.221 0.130
34 Te 0.046 0.325 0.917
35 Te 0.083 0.630 0.409
36 Te 0.083 0.954 0.675
37 Te 0.091 0.721 0.675
38 Te 0.091 0.870 0.417
39 Te 0.130 0.046 0.221
40 Te 0.130 0.583 0.909
41 Te 0.175 0.221 0.591
42 Te 0.175 0.454 0.583
43 Te 0.221 0.130 0.046
44 Te 0.221 0.591 0.175
45 Te 0.279 0.325 0.909
46 Te 0.279 0.454 0.370
47 Te 0.325 0.909 0.279
48 Te 0.325 0.917 0.046
49 Te 0.370 0.279 0.454
50 Te 0.370 0.591 0.917
51 Te 0.409 0.083 0.630
52 Te 0.409 0.825 0.779
53 Te 0.417 0.091 0.870
54 Te 0.417 0.825 0.546
55 Te 0.454 0.370 0.279
56 Te 0.454 0.583 0.175
57 Te 0.546 0.417 0.825
58 Te 0.546 0.630 0.721
59 Te 0.583 0.175 0.454
60 Te 0.583 0.909 0.130
61 Te 0.591 0.175 0.221
62 Te 0.591 0.917 0.370
63 Te 0.630 0.409 0.083
64 Te 0.630 0.721 0.546
65 Te 0.675 0.083 0.954
66 Te 0.675 0.091 0.721
67 Te 0.721 0.546 0.630
68 Te 0.721 0.675 0.091
69 Te 0.779 0.409 0.825
70 Te 0.779 0.870 0.954
71 Te 0.825 0.546 0.417
72 Te 0.825 0.779 0.409
73 Te 0.870 0.417 0.091
74 Te 0.870 0.954 0.779
75 Te 0.909 0.130 0.583
76 Te 0.909 0.279 0.325
77 Te 0.917 0.046 0.325
78 Te 0.917 0.370 0.591
79 Te 0.954 0.675 0.083
80 Te 0.954 0.779 0.870

Calculated values
- Uncorrected formation energy: -0.705 eV/atom
- Fermi-level density of states: 9.1 states/eV/f.u.
- V: 2614.9 Å³/cell
- E: -0.1622 hartree per atom
- Magnetization: 4.55 μB per cell

(17)
Compound: MgPaTe2
Source: Alexandria
Functional: GGA-PBE
Structure: optimized geometry

abc: 3.974 3.974 24.566
angles: 90.00 90.00 120.00
Element x y z (fractional)
1 Mg 0.000 0.000 0.000
2 Mg 0.333 0.667 0.667
3 Mg 0.667 0.333 0.333
4 Pa 0.000 0.000 0.835
5 Pa 0.333 0.667 0.501
6 Pa 0.667 0.333 0.168
7 Te 0.000 0.000 0.255
8 Te 0.000 0.000 0.413
9 Te 0.333 0.667 0.080
10 Te 0.333 0.667 0.921
11 Te 0.667 0.333 0.588
12 Te 0.667 0.333 0.747

Calculated values
- Uncorrected formation energy: -0.598 eV/atom
- Fermi-level density of states: 4.1 states/eV/f.u.
- V: 335.9 Å³/cell
- Distance to the lowest polymorph of the same formula: 51 meV/atom
- E: -0.1816 hartree per atom
- Magnetization: 3.58 μB per cell

(18)
Compound: MgPaTe2
Source: Alexandria
Functional: GGA-PBE
Structure: optimized geometry

abc: 3.807 3.807 7.249
angles: 90.00 90.00 90.00
Element x y z (fractional)
1 Mg 0.000 0.000 0.000
2 Pa 0.000 0.000 0.500
3 Te 0.500 0.500 0.260
4 Te 0.500 0.500 0.740

Calculated values
- Uncorrected formation energy: -0.649 eV/atom
- Fermi-level density of states: 4.6 states/eV/f.u.
- V: 105.1 Å³/cell
- Distance to the lowest polymorph of the same formula: 0 meV/atom
- E: -0.1835 hartree per atom
- Magnetization: 0.86 μB per cell

(19)
Compound: MgPaTe4
Source: Alexandria
Functional: GGA-PBE
Structure: optimized geometry

abc: 8.356 7.341 7.268
angles: 90.00 113.83 90.00
Element x y z (fractional)
1 Mg 0.000 0.000 0.000
2 Mg 0.000 0.500 0.500
3 Pa 0.500 0.000 0.500
4 Pa 0.500 0.500 0.000
5 Te 0.194 0.239 0.818
6 Te 0.194 0.261 0.318
7 Te 0.299 0.747 0.161
8 Te 0.299 0.753 0.661
9 Te 0.701 0.247 0.339
10 Te 0.701 0.253 0.839
11 Te 0.806 0.739 0.682
12 Te 0.806 0.761 0.182

Calculated values
- Uncorrected formation energy: -0.568 eV/atom
- Fermi-level density of states: 2.9 states/eV/f.u.
- V: 407.8 Å³/cell
- E: -0.1658 hartree per atom
- Magnetization: 0.00 μB per cell

(20)
Compound: MgPaTl2Te4
Source: Alexandria
Functional: GGA-PBE
Structure: optimized geometry

abc: 7.585 4.387 8.632
angles: 90.00 107.42 90.00
Element x y z (fractional)
1 Mg 0.000 0.000 0.000
2 Pa 0.500 0.500 0.000
3 Tl 0.000 0.500 0.500
4 Tl 0.500 0.000 0.500
5 Te 0.229 0.500 0.202
6 Te 0.262 0.000 0.784
7 Te 0.738 0.000 0.216
8 Te 0.771 0.500 0.798

Calculated values
- Uncorrected formation energy: -0.643 eV/atom
- Fermi-level density of states: 5.2 states/eV/f.u.
- V: 274.0 Å³/cell
- E: -0.1540 hartree per atom
- Magnetization: 1.01 μB per cell